(1)
This record from the Alexandria database describes an optimized crystal structure of Sn3GeF. The functional is PBE.

abc: 5.381 5.381 5.381
angles: 90.00 90.00 90.00
Space group Pm-3m (No. 221)
Unique sites:
1 Sn 0.000 0.000 0.500 [3 per cell]
2 Ge 0.000 0.000 0.000 [1 per cell]
3 F 0.500 0.500 0.500 [1 per cell]

## Properties
The value obtained for the volume is 155.8 Å³ per cell. For the uncorrected formation energy, the calculation gives 0.20 eV/atom. The energy relative to the lowest polymorph listed for this composition comes out at 420 meV per atom. The calculation puts the density of states at the Fermi level at 2.9 states/eV/cell.

---

(2)
This record from the Alexandria database describes an optimized crystal structure of EuTm2Hg. The functional is PBE.

abc: 3.6251 3.6251 32.2301
angles: 90.00 90.00 120.00
Space group R-3m (No. 166, hexagonal axes)
Unique sites:
1 Eu 0.0000 0.0000 0.0000 [3 per cell]
2 Tm 0.0000 0.0000 0.2390 [6 per cell]
3 Hg 0.0000 0.0000 0.5000 [3 per cell]

## Properties
The value obtained for the volume is 366.8 Å³ per cell. The formation enthalpy at 0 K comes out at -0.12 eV per atom. The energy relative to the lowest polymorph listed for this composition comes out at 39 meV per atom. The calculation puts the density of states at the Fermi level at 9.4 states/eV/cell.

---

(3)
This record from the Alexandria database describes an optimized crystal structure of KTaSi. The functional is PBE.

abc: 3.0026 3.0026 8.2339
angles: 90.00 90.00 120.00
Space group P3m1 (No. 156)
Unique sites:
1 K 0.0000 0.0000 0.0000 [1 per cell]
2 Ta 0.6667 0.3333 0.6008 [1 per cell]
3 Si 0.3333 0.6667 0.3421 [1 per cell]

## Properties
The value obtained for the volume is 64.3 Å³ per cell. For the uncorrected formation energy, the calculation gives 0.58 eV/atom. The energy relative to the lowest polymorph listed for this composition comes out at 169 meV per atom. The calculation puts the density of states at the Fermi level at 2.2 states/eV/cell.